The following is a PBE calculation of a relaxed structure of Pr8Bi2Ir3, from Alexandria.

Unit cell a=16.5766 b=8.3385 c=7.1771 alpha=90.00 beta=106.10 gamma=90.00
With the nearest neighbours (Å) after each atom.
Space group C2/m (No. 12)
Symmetry-distinct sites (fractional):
Pr  0.0933  0.0000  0.3938  2 Ir 2.82
Pr  0.0985  0.5000  0.4006  3 Ir 2.87-2.89
Pr  0.1039  0.2610  0.8956  2 Ir 2.87-2.89
Bi  0.2423  0.0000  0.1658  6 Pr 3.32-3.48
Ir  0.0000  0.2486  0.5000  6 Pr 2.82-2.89
Ir  0.0000  0.5000  0.0000  6 Pr 2.87-2.89

## Properties
V ... 36.66 Å³/atom
Total magnetization ... 0.00 μB/atom
DOS(E_F) ... 16.6 states/eV/cell
Theoretical density ... 7.4 g/cm³
E_form ... -681.6 kJ/mol of formula units